# PBE with a Hubbard U Fe2IrF, optimized geometry
# Total energy (eV/atom): -5.193
data_Fe2IrF
_symmetry_space_group_name_H-M 'F m -3 m'
_symmetry_Int_Tables_number 225
_symmetry_space_group_name_Hall '-F 4 2 3'
_cell_length_a 6.0918
_cell_length_b 6.0918
_cell_length_c 6.0918
_cell_angle_alpha 90.00
_cell_angle_beta 90.00
_cell_angle_gamma 90.00
loop_
_atom_site_label
_atom_site_fract_x
_atom_site_fract_y
_atom_site_fract_z
Fe1 0.2500 0.2500 0.2500
Ir1 0.0000 0.0000 0.0000
F1 0.0000 0.0000 0.5000